This record from the Alexandria database describes crystalline La2YTeRu at its relaxed geometry. The functional is GGA-PBE.

## Properties
Raw formation energy in meV/atom: -540

a b c (Å): 5.4396 5.4396 5.4030
angles (deg): 90.00 90.00 90.00
With the nearest neighbours (Å) after each atom.
Space group P4/mmm (No. 123)
Inequivalent atoms, fractional coordinates:
La 0.0000 0.5000 0.0000  2 Ru 2.72
Y 0.0000 0.0000 0.5000  2 Ru 2.70
Te 0.5000 0.5000 0.5000  8 La 3.83, 4 Y 3.85
Ru 0.0000 0.0000 0.0000  2 Y 2.70, 4 La 2.72